No. 1
# PaMn2GeN, optimized geometry, DFT GGA-PBE
data_PaMn2GeN
_cell_length_a 3.802
_cell_length_b 5.727
_cell_length_c 6.777
_cell_angle_alpha 90.00
_cell_angle_beta 90.00
_cell_angle_gamma 109.39
_symmetry_space_group_name_H-M 'P 1'
_symmetry_Int_Tables_number 1
_symmetry_space_group_name_Hall 'P 1'
loop_
_atom_site_label
_atom_site_type_symbol
_atom_site_fract_x
_atom_site_fract_y
_atom_site_fract_z
Pa1 Pa 0.444 0.887 0.750
Pa2 Pa 0.556 0.113 0.250
Mn1 Mn 0.161 0.322 0.941
Mn2 Mn 0.839 0.678 0.059
Mn3 Mn 0.161 0.322 0.559
Mn4 Mn 0.839 0.678 0.441
Ge1 Ge 0.726 0.453 0.750
Ge2 Ge 0.274 0.547 0.250
N1 N 0.000 0.000 0.000
N2 N 0.000 0.000 0.500
# Size of the total moment in μB/cell: 0.01
# Volume in Å³ per atom: 13.92
# DOS at the Fermi energy in states/eV/cell: 10.6
# E_form (uncorrected) in eV per atom: -0.6205
# Raw total energy in eV/atom: -8.78


No. 2
# Pa2MnGeN5, optimized geometry, DFT GGA-PBE
data_Pa2MnGeN5
_cell_length_a 3.265
_cell_length_b 6.929
_cell_length_c 9.564
_cell_angle_alpha 90.00
_cell_angle_beta 90.00
_cell_angle_gamma 103.63
_symmetry_space_group_name_H-M 'P 1'
_symmetry_Int_Tables_number 1
_symmetry_space_group_name_Hall 'P 1'
loop_
_atom_site_label
_atom_site_type_symbol
_atom_site_fract_x
_atom_site_fract_y
_atom_site_fract_z
Pa1 Pa 0.859 0.717 0.802
Pa2 Pa 0.122 0.244 0.676
Pa3 Pa 0.141 0.283 0.302
Pa4 Pa 0.878 0.756 0.176
Mn1 Mn 0.778 0.555 0.532
Mn2 Mn 0.222 0.445 0.032
Ge1 Ge 0.562 0.123 0.955
Ge2 Ge 0.438 0.877 0.455
N1 N 0.369 0.738 0.995
N2 N 0.695 0.390 0.877
N3 N 0.503 0.006 0.777
N4 N 0.289 0.578 0.656
N5 N 0.940 0.880 0.554
N6 N 0.631 0.262 0.495
N7 N 0.305 0.610 0.377
N8 N 0.497 0.994 0.277
N9 N 0.711 0.422 0.156
N10 N 0.060 0.120 0.054
# Size of the total moment in μB/cell: 0.25
# Volume in Å³ per atom: 11.68
# DOS at the Fermi energy in states/eV/cell: 7.8
# E_form (uncorrected) in eV per atom: -0.8387
# Raw total energy in eV/atom: -9.11


No. 3
# PmMn2GeN, optimized geometry, DFT GGA-PBE
data_PmMn2GeN
_cell_length_a 3.742
_cell_length_b 5.722
_cell_length_c 7.197
_cell_angle_alpha 90.00
_cell_angle_beta 90.00
_cell_angle_gamma 109.09
_symmetry_space_group_name_H-M 'P 1'
_symmetry_Int_Tables_number 1
_symmetry_space_group_name_Hall 'P 1'
loop_
_atom_site_label
_atom_site_type_symbol
_atom_site_fract_x
_atom_site_fract_y
_atom_site_fract_z
Pm1 Pm 0.457 0.914 0.750
Pm2 Pm 0.543 0.086 0.250
Mn1 Mn 0.164 0.328 0.943
Mn2 Mn 0.836 0.672 0.057
Mn3 Mn 0.164 0.328 0.557
Mn4 Mn 0.836 0.672 0.443
Ge1 Ge 0.734 0.467 0.750
Ge2 Ge 0.266 0.533 0.250
N1 N 0.000 0.000 0.000
N2 N 0.000 0.000 0.500
# Size of the total moment in μB/cell: 5.71
# Volume in Å³ per atom: 14.57
# DOS at the Fermi energy in states/eV/cell: 6.0
# E_form (uncorrected) in eV per atom: -0.6740
# Raw total energy in eV/atom: -7.88


No. 4
# Pm2Mn2Ge2N, optimized geometry, DFT GGA-PBE
data_Pm2Mn2Ge2N
_cell_length_a 4.127
_cell_length_b 4.127
_cell_length_c 8.102
_cell_angle_alpha 104.76
_cell_angle_beta 104.76
_cell_angle_gamma 90.00
_symmetry_space_group_name_H-M 'P 1'
_symmetry_Int_Tables_number 1
_symmetry_space_group_name_Hall 'P 1'
loop_
_atom_site_label
_atom_site_type_symbol
_atom_site_fract_x
_atom_site_fract_y
_atom_site_fract_z
Pm1 Pm 0.162 0.162 0.325
Pm2 Pm 0.838 0.838 0.675
Mn1 Mn 0.000 0.500 0.000
Mn2 Mn 0.500 0.000 0.000
Ge1 Ge 0.380 0.380 0.761
Ge2 Ge 0.620 0.620 0.239
N1 N 0.000 0.000 0.000
# Size of the total moment in μB/cell: 7.06
# Volume in Å³ per atom: 18.40
# DOS at the Fermi energy in states/eV/cell: 7.0
# E_form (uncorrected) in eV per atom: -0.6290
# Raw total energy in eV/atom: -7.11


No. 5
# Pu2Mn2Ge2N, optimized geometry, DFT GGA-PBE
data_Pu2Mn2Ge2N
_cell_length_a 3.740
_cell_length_b 5.734
_cell_length_c 7.052
_cell_angle_alpha 56.31
_cell_angle_beta 90.00
_cell_angle_gamma 70.96
_symmetry_space_group_name_H-M 'P 1'
_symmetry_Int_Tables_number 1
_symmetry_space_group_name_Hall 'P 1'
loop_
_atom_site_label
_atom_site_type_symbol
_atom_site_fract_x
_atom_site_fract_y
_atom_site_fract_z
Pu1 Pu 0.439 0.123 0.720
Pu2 Pu 0.561 0.877 0.280
Mn1 Mn 0.803 0.394 0.931
Mn2 Mn 0.197 0.606 0.069
Ge1 Ge 0.848 0.303 0.316
Ge2 Ge 0.152 0.697 0.684
N1 N 0.000 0.000 0.000
# Size of the total moment in μB/cell: 13.40
# Volume in Å³ per atom: 16.54
# DOS at the Fermi energy in states/eV/cell: 19.3
# E_form (uncorrected) in eV per atom: -0.5240
# Raw total energy in eV/atom: -9.75


No. 6
# RbMnGeN2, optimized geometry, DFT GGA-PBE
data_RbMnGeN2
_cell_length_a 3.910
_cell_length_b 5.154
_cell_length_c 3.910
_cell_angle_alpha 90.00
_cell_angle_beta 90.00
_cell_angle_gamma 90.00
_symmetry_space_group_name_H-M 'P 1'
_symmetry_Int_Tables_number 1
_symmetry_space_group_name_Hall 'P 1'
loop_
_atom_site_label
_atom_site_type_symbol
_atom_site_fract_x
_atom_site_fract_y
_atom_site_fract_z
Ge1 Ge 0.500 0.500 0.500
Mn1 Mn 0.000 0.000 0.000
Rb1 Rb 0.000 0.500 0.000
N1 N 0.000 0.000 0.500
N2 N 0.500 0.000 0.000
# Size of the total moment in μB/cell: 0.00
# Volume in Å³ per atom: 15.76
# DOS at the Fermi energy in states/eV/cell: 5.1
# E_form (uncorrected) in eV per atom: 1.5697
# Raw total energy in eV/atom: -4.71


No. 7
# Mn2GeRuN, optimized geometry, DFT GGA-PBE
data_Mn2GeRuN
_cell_length_a 3.778
_cell_length_b 3.778
_cell_length_c 4.137
_cell_angle_alpha 90.00
_cell_angle_beta 90.00
_cell_angle_gamma 90.00
_symmetry_space_group_name_H-M 'P 1'
_symmetry_Int_Tables_number 1
_symmetry_space_group_name_Hall 'P 1'
loop_
_atom_site_label
_atom_site_type_symbol
_atom_site_fract_x
_atom_site_fract_y
_atom_site_fract_z
Ru1 Ru 0.000 0.000 0.500
Ge1 Ge 0.500 0.500 0.500
Mn1 Mn 0.000 0.500 0.000
Mn2 Mn 0.500 0.000 0.000
N1 N 0.000 0.000 0.000
# Size of the total moment in μB/cell: 2.88
# Volume in Å³ per atom: 11.81
# DOS at the Fermi energy in states/eV/cell: 4.6
# E_form (uncorrected) in eV per atom: -0.0687
# Raw total energy in eV/atom: -8.18


No. 8
# MnGeS2N, optimized geometry, DFT GGA-PBE
data_MnGeS2N
_cell_length_a 4.774
_cell_length_b 4.774
_cell_length_c 3.531
_cell_angle_alpha 90.00
_cell_angle_beta 90.00
_cell_angle_gamma 90.00
_symmetry_space_group_name_H-M 'P 1'
_symmetry_Int_Tables_number 1
_symmetry_space_group_name_Hall 'P 1'
loop_
_atom_site_label
_atom_site_type_symbol
_atom_site_fract_x
_atom_site_fract_y
_atom_site_fract_z
Ge1 Ge 0.500 0.500 0.500
Mn1 Mn 0.000 0.000 0.000
S1 S 0.000 0.500 0.000
S2 S 0.500 0.000 0.000
N1 N 0.000 0.000 0.500
# Size of the total moment in μB/cell: 1.85
# Volume in Å³ per atom: 16.10
# DOS at the Fermi energy in states/eV/cell: 2.2
# E_form (uncorrected) in eV per atom: 0.1859
# Raw total energy in eV/atom: -5.89


No. 9
# MnGeS2N, optimized geometry, DFT GGA-PBE
data_MnGeS2N
_cell_length_a 4.847
_cell_length_b 4.847
_cell_length_c 3.578
_cell_angle_alpha 90.00
_cell_angle_beta 90.00
_cell_angle_gamma 90.00
_symmetry_space_group_name_H-M 'P 1'
_symmetry_Int_Tables_number 1
_symmetry_space_group_name_Hall 'P 1'
loop_
_atom_site_label
_atom_site_type_symbol
_atom_site_fract_x
_atom_site_fract_y
_atom_site_fract_z
Ge1 Ge 0.000 0.000 0.000
Mn1 Mn 0.500 0.500 0.500
S1 S 0.000 0.500 0.000
S2 S 0.500 0.000 0.000
N1 N 0.000 0.000 0.500
# Size of the total moment in μB/cell: 3.93
# Volume in Å³ per atom: 16.81
# DOS at the Fermi energy in states/eV/cell: 2.3
# E_form (uncorrected) in eV per atom: 0.6525
# Raw total energy in eV/atom: -5.42


No. 10
# SmMn2GeN, optimized geometry, DFT GGA-PBE
data_SmMn2GeN
_cell_length_a 3.722
_cell_length_b 5.711
_cell_length_c 7.189
_cell_angle_alpha 90.00
_cell_angle_beta 90.00
_cell_angle_gamma 109.02
_symmetry_space_group_name_H-M 'P 1'
_symmetry_Int_Tables_number 1
_symmetry_space_group_name_Hall 'P 1'
loop_
_atom_site_label
_atom_site_type_symbol
_atom_site_fract_x
_atom_site_fract_y
_atom_site_fract_z
Sm1 Sm 0.457 0.915 0.750
Sm2 Sm 0.543 0.085 0.250
Mn1 Mn 0.164 0.328 0.943
Mn2 Mn 0.836 0.672 0.057
Mn3 Mn 0.164 0.328 0.557
Mn4 Mn 0.836 0.672 0.443
Ge1 Ge 0.734 0.468 0.750
Ge2 Ge 0.266 0.532 0.250
N1 N 0.000 0.000 0.000
N2 N 0.000 0.000 0.500
# Size of the total moment in μB/cell: 5.65
# Volume in Å³ per atom: 14.45
# DOS at the Fermi energy in states/eV/cell: 5.9
# E_form (uncorrected) in eV per atom: -0.6811
# Raw total energy in eV/atom: -7.88


No. 11
# Sm2Mn2Ge2N, optimized geometry, DFT GGA-PBE
data_Sm2Mn2Ge2N
_cell_length_a 4.115
_cell_length_b 4.115
_cell_length_c 8.055
_cell_angle_alpha 104.80
_cell_angle_beta 104.80
_cell_angle_gamma 90.00
_symmetry_space_group_name_H-M 'P 1'
_symmetry_Int_Tables_number 1
_symmetry_space_group_name_Hall 'P 1'
loop_
_atom_site_label
_atom_site_type_symbol
_atom_site_fract_x
_atom_site_fract_y
_atom_site_fract_z
Sm1 Sm 0.162 0.162 0.325
Sm2 Sm 0.838 0.838 0.675
Mn1 Mn 0.000 0.500 0.000
Mn2 Mn 0.500 0.000 0.000
Ge1 Ge 0.380 0.380 0.759
Ge2 Ge 0.620 0.620 0.241
N1 N 0.000 0.000 0.000
# Size of the total moment in μB/cell: 6.94
# Volume in Å³ per atom: 18.17
# DOS at the Fermi energy in states/eV/cell: 6.8
# E_form (uncorrected) in eV per atom: -0.6381
# Raw total energy in eV/atom: -7.11


No. 12
# Tb2Mn2Ge2N, optimized geometry, DFT GGA-PBE
data_Tb2Mn2Ge2N
_cell_length_a 4.074
_cell_length_b 4.074
_cell_length_c 7.890
_cell_angle_alpha 104.96
_cell_angle_beta 104.96
_cell_angle_gamma 90.00
_symmetry_space_group_name_H-M 'P 1'
_symmetry_Int_Tables_number 1
_symmetry_space_group_name_Hall 'P 1'
loop_
_atom_site_label
_atom_site_type_symbol
_atom_site_fract_x
_atom_site_fract_y
_atom_site_fract_z
Tb1 Tb 0.162 0.162 0.325
Tb2 Tb 0.838 0.838 0.675
Mn1 Mn 0.000 0.500 0.000
Mn2 Mn 0.500 0.000 0.000
Ge1 Ge 0.377 0.377 0.753
Ge2 Ge 0.623 0.623 0.247
N1 N 0.000 0.000 0.000
# Size of the total moment in μB/cell: 6.43
# Volume in Å³ per atom: 17.42
# DOS at the Fermi energy in states/eV/cell: 6.7
# E_form (uncorrected) in eV per atom: -0.6741
# Raw total energy in eV/atom: -7.13


Question: Number 5 is which compound?
Answer: Pu2Mn2Ge2N


Question: Which value of E_form (uncorrected) does entry 11 give?
Answer: -0.6381 eV per atom


Question: What is the size of the total moment in the fifth record?
Answer: 13.40 μB/cell